No. 1
Compound: Y3HfSn
Source: Alexandria via LeMat-Bulk
Functional: PBE
Structure: relaxed

Lattice parameters (Å, degrees): 5.6492 5.6492 5.6492 90.00 90.00 90.00
Each line ends with the local moment (μB).
Positions (direct):
Hf (0.5000, 0.5000, 0.5000)  0.92
Y (0.0000, 0.0000, 0.5000)  0.27
Y (0.0000, 0.5000, 0.0000)  0.24
Sn (0.0000, 0.0000, 0.0000)  0.03
Y (0.5000, 0.0000, 0.0000)  0.26

Results
The calculation puts the energy at -6.069 eV/atom. The calculation puts the energy of formation at 3.01 eV per formula unit.



No. 2
Compound: YHf3Sn
Source: Alexandria via LeMat-Bulk
Functional: PBE
Structure: relaxed

Lattice parameters (Å, degrees): 5.3053 5.3053 5.3053 90.00 90.00 90.00
Positions (direct):
Y (0.5000, 0.5000, 0.5000)
Hf (0.0000, 0.0000, 0.5000)
Hf (0.5000, 0.0000, 0.0000)
Sn (0.0000, 0.0000, 0.0000)
Hf (0.0000, 0.5000, 0.0000)

Results
The calculation puts the energy at -7.259 eV/atom. The calculation puts the energy of formation at 4.03 eV per formula unit.



No. 3
Compound: Y2HfZnSn
Source: Alexandria via LeMat-Bulk
Functional: PBE
Structure: relaxed

Lattice parameters (Å, degrees): 5.2730 5.0309 5.2730 90.00 90.00 90.00
Positions (direct):
Hf (0.0000, 0.5000, 0.0000)
Y (0.5000, 0.0000, 0.0000)
Sn (0.5000, 0.5000, 0.5000)
Zn (0.0000, 0.0000, 0.0000)
Y (0.0000, 0.0000, 0.5000)

Results
The calculation puts the energy at -5.564 eV/atom. The calculation puts the energy of formation at 0.34 eV per formula unit.